Zn2CoOs | GGA-PBE | optimized geometry

Properties
**ΔE to the lowest computed polymorph**: 20 meV per atom
**Calculated formation energy**: 0.09 eV/atom
**DOS(E_F)**: 0.68 states/eV/atom
**Total magnetic moment**: 1.00 μB/f.u.

CIF file:
```
data_Zn2CoOs
_space_group_name_H-M_alt 'P 1'
_space_group_IT_number 1
_cell_length_a 8.827
_cell_length_b 8.827
_cell_length_c 8.827
_cell_angle_alpha 17.51
_cell_angle_beta 17.51
_cell_angle_gamma 17.51
loop_
_space_group_symop_operation_xyz
'x,y,z'
loop_
_atom_site_label
_atom_site_type_symbol
_atom_site_fract_x
_atom_site_fract_y
_atom_site_fract_z
_atom_site_occupancy
Zn1 Zn 0.002 0.002 0.002 1
Co1 Co 0.498 0.498 0.498 1
Zn2 Zn 0.244 0.244 0.244 1
Os1 Os 0.756 0.756 0.756 1
```

TaHgTe2 | GGA-PBE | optimized geometry

Properties
**DOS(E_F)**: 0.80 states/eV/atom
**Total magnetic moment**: 0.00 μB/f.u.
**Formation energy (no corrections)**: 0.21 eV/atom

CIF file:
```
data_TaHgTe2
_space_group_name_H-M_alt 'P 1'
_space_group_IT_number 1
_cell_length_a 3.314
_cell_length_b 3.314
_cell_length_c 9.369
_cell_angle_alpha 90.00
_cell_angle_beta 90.00
_cell_angle_gamma 90.00
loop_
_space_group_symop_operation_xyz
'x,y,z'
loop_
_atom_site_label
_atom_site_type_symbol
_atom_site_fract_x
_atom_site_fract_y
_atom_site_fract_z
_atom_site_occupancy
Te1 Te 0.000 0.000 0.928 1
Ta1 Ta 0.500 0.500 0.758 1
Te2 Te 0.500 0.500 0.265 1
Hg1 Hg 0.000 0.000 0.548 1
```

NpAl2Si | GGA-PBE | optimized geometry

Properties
**ΔE to the lowest computed polymorph**: 352 meV per atom
**DOS(E_F)**: 2.15 states/eV/atom
**Total magnetic moment**: 4.10 μB/f.u.
**Formation energy (no corrections)**: 0.17 eV/atom

CIF file:
```
data_NpAl2Si
_space_group_name_H-M_alt 'P 1'
_space_group_IT_number 1
_cell_length_a 4.276
_cell_length_b 4.276
_cell_length_c 5.540
_cell_angle_alpha 67.30
_cell_angle_beta 67.30
_cell_angle_gamma 60.00
loop_
_space_group_symop_operation_xyz
'x,y,z'
loop_
_atom_site_label
_atom_site_type_symbol
_atom_site_fract_x
_atom_site_fract_y
_atom_site_fract_z
_atom_site_occupancy
Np1 Np 0.000 0.000 0.000 1
Si1 Si 0.500 0.500 0.500 1
Al1 Al 0.787 0.787 0.638 1
Al2 Al 0.213 0.213 0.362 1
```

La2InSi | GGA-PBE | optimized geometry

Properties
**DOS(E_F)**: 1.35 states/eV/atom
**Total magnetic moment**: 0.00 μB/f.u.
**Formation energy (no corrections)**: -0.40 eV/atom

CIF file:
```
data_La2InSi
_space_group_name_H-M_alt 'P 1'
_space_group_IT_number 1
_cell_length_a 4.320
_cell_length_b 4.320
_cell_length_c 8.554
_cell_angle_alpha 75.45
_cell_angle_beta 75.45
_cell_angle_gamma 59.88
loop_
_space_group_symop_operation_xyz
'x,y,z'
loop_
_atom_site_label
_atom_site_type_symbol
_atom_site_fract_x
_atom_site_fract_y
_atom_site_fract_z
_atom_site_occupancy
Si1 Si 0.750 0.750 0.750 1
In1 In 0.250 0.250 0.250 1
La1 La 0.485 0.485 0.543 1
La2 La 0.015 0.015 0.957 1
```

CaGeHRh | GGA-PBE | optimized geometry

Properties
**DOS(E_F)**: 0.13 states/eV/atom
**Total magnetic moment**: 0.00 μB/f.u.

CIF file:
```
data_CaGeHRh
_space_group_name_H-M_alt 'P 1'
_space_group_IT_number 1
_cell_length_a 4.085
_cell_length_b 4.085
_cell_length_c 7.775
_cell_angle_alpha 90.00
_cell_angle_beta 90.00
_cell_angle_gamma 90.00
loop_
_space_group_symop_operation_xyz
'x,y,z'
loop_
_atom_site_label
_atom_site_type_symbol
_atom_site_fract_x
_atom_site_fract_y
_atom_site_fract_z
_atom_site_occupancy
Rh1 Rh 0.000 0.000 0.000 1
Ge1 Ge 0.000 0.500 0.824 1
H1 H 0.500 0.500 0.500 1
Ge2 Ge 0.500 0.000 0.176 1
Rh2 Rh 0.500 0.500 0.000 1
H2 H 0.000 0.000 0.500 1
Ca1 Ca 0.500 0.000 0.643 1
Ca2 Ca 0.000 0.500 0.357 1
```

Ba2In17 | GGA-PBE | optimized geometry

Properties
**Calculated formation energy**: -0.14 eV/atom
**DOS(E_F)**: 0.52 states/eV/atom
**Total magnetic moment**: 0.00 μB/f.u.

CIF file:
```
data_Ba2In17
_space_group_name_H-M_alt 'P 1'
_space_group_IT_number 1
_cell_length_a 8.318
_cell_length_b 8.318
_cell_length_c 8.318
_cell_angle_alpha 82.30
_cell_angle_beta 82.30
_cell_angle_gamma 82.30
loop_
_space_group_symop_operation_xyz
'x,y,z'
loop_
_atom_site_label
_atom_site_type_symbol
_atom_site_fract_x
_atom_site_fract_y
_atom_site_fract_z
_atom_site_occupancy
In1 In 0.641 0.641 0.155 1
In2 In 0.295 0.705 0.000 1
In3 In 0.000 0.000 0.500 1
Ba1 Ba 0.340 0.340 0.340 1
In4 In 0.705 0.295 0.000 1
In5 In 0.155 0.641 0.641 1
In6 In 0.359 0.845 0.359 1
In7 In 0.901 0.901 0.901 1
In8 In 0.500 0.000 0.000 1
In9 In 0.641 0.155 0.641 1
In10 In 0.705 0.000 0.295 1
In11 In 0.295 0.000 0.705 1
In12 In 0.000 0.705 0.295 1
In13 In 0.359 0.359 0.845 1
Ba2 Ba 0.660 0.660 0.660 1
In14 In 0.099 0.099 0.099 1
In15 In 0.845 0.359 0.359 1
In16 In 0.000 0.500 0.000 1
In17 In 0.000 0.295 0.705 1
```

YCu4Ni4 | GGA-PBE | optimized geometry

Properties
**Calculated formation energy**: -0.01 eV/atom
**DOS(E_F)**: 0.64 states/eV/atom
**Total magnetic moment**: 0.00 μB/f.u.

CIF file:
```
data_YCu4Ni4
_space_group_name_H-M_alt 'P 1'
_space_group_IT_number 1
_cell_length_a 4.206
_cell_length_b 7.657
_cell_length_c 7.657
_cell_angle_alpha 90.00
_cell_angle_beta 90.00
_cell_angle_gamma 90.00
loop_
_space_group_symop_operation_xyz
'x,y,z'
loop_
_atom_site_label
_atom_site_type_symbol
_atom_site_fract_x
_atom_site_fract_y
_atom_site_fract_z
_atom_site_occupancy
Cu1 Cu 0.500 0.236 0.143 1
Cu2 Cu 0.500 0.764 0.857 1
Cu3 Cu 0.000 0.357 0.736 1
Ni1 Ni 0.500 0.433 0.870 1
Ni2 Ni 0.500 0.130 0.433 1
Y1 Y 0.500 0.500 0.500 1
Ni3 Ni 0.000 0.370 0.067 1
Cu4 Cu 0.500 0.143 0.764 1
Cu5 Cu 0.000 0.643 0.264 1
Ni4 Ni 0.000 0.933 0.370 1
Y2 Y 0.000 0.000 0.000 1
Cu6 Cu 0.500 0.857 0.236 1
Ni5 Ni 0.500 0.567 0.130 1
Ni6 Ni 0.500 0.870 0.567 1
Ni7 Ni 0.000 0.630 0.933 1
Cu7 Cu 0.000 0.264 0.357 1
Ni8 Ni 0.000 0.067 0.630 1
Cu8 Cu 0.000 0.736 0.643 1
```

Ac3LaCe2P6 | GGA-PBE | optimized geometry

Properties
**Calculated formation energy**: -1.48 eV/atom
**DOS(E_F)**: 0.90 states/eV/atom
**Total magnetic moment**: 1.14 μB/f.u.

CIF file:
```
data_Ac3LaCe2P6
_space_group_name_H-M_alt 'P 1'
_space_group_IT_number 1
_cell_length_a 7.440
_cell_length_b 7.440
_cell_length_c 7.460
_cell_angle_alpha 99.57
_cell_angle_beta 99.57
_cell_angle_gamma 119.99
loop_
_space_group_symop_operation_xyz
'x,y,z'
loop_
_atom_site_label
_atom_site_type_symbol
_atom_site_fract_x
_atom_site_fract_y
_atom_site_fract_z
_atom_site_occupancy
La1 La 0.000 0.000 0.000 1
Ce1 Ce 0.333 0.667 0.000 1
Ac1 Ac 0.834 0.166 0.500 1
P1 P 0.582 0.923 0.768 1
P2 P 0.736 0.736 0.231 1
Ce2 Ce 0.667 0.333 0.000 1
P3 P 0.264 0.264 0.769 1
P4 P 0.923 0.582 0.768 1
P5 P 0.077 0.418 0.232 1
Ac2 Ac 0.500 0.500 0.500 1
Ac3 Ac 0.166 0.834 0.500 1
P6 P 0.418 0.077 0.232 1
```

PmEuPPt | GGA-PBE | optimized geometry

Properties
**Calculated formation energy**: -1.01 eV/atom
**DOS(E_F)**: 1.22 states/eV/atom
**Total magnetic moment**: 7.01 μB/f.u.

CIF file:
```
data_PmEuPPt
_space_group_name_H-M_alt 'P 1'
_space_group_IT_number 1
_cell_length_a 5.075
_cell_length_b 5.075
_cell_length_c 5.075
_cell_angle_alpha 60.00
_cell_angle_beta 60.00
_cell_angle_gamma 60.00
loop_
_space_group_symop_operation_xyz
'x,y,z'
loop_
_atom_site_label
_atom_site_type_symbol
_atom_site_fract_x
_atom_site_fract_y
_atom_site_fract_z
_atom_site_occupancy
Pm1 Pm 0.500 0.500 0.500 1
Eu1 Eu 0.000 0.000 0.000 1
Pt1 Pt 0.750 0.750 0.750 1
P1 P 0.250 0.250 0.250 1
```

Ba2SrCdCu | GGA-PBE | optimized geometry

Properties
**ΔE to the lowest computed polymorph**: 0 meV per atom
**Calculated formation energy**: 0.01 eV/atom
**DOS(E_F)**: 1.03 states/eV/atom
**Total magnetic moment**: 0.00 μB/f.u.

CIF file:
```
data_Ba2SrCdCu
_space_group_name_H-M_alt 'P 1'
_space_group_IT_number 1
_cell_length_a 6.353
_cell_length_b 6.353
_cell_length_c 5.217
_cell_angle_alpha 90.00
_cell_angle_beta 90.00
_cell_angle_gamma 90.00
loop_
_space_group_symop_operation_xyz
'x,y,z'
loop_
_atom_site_label
_atom_site_type_symbol
_atom_site_fract_x
_atom_site_fract_y
_atom_site_fract_z
_atom_site_occupancy
Ba1 Ba 0.500 0.000 0.000 1
Sr1 Sr 0.500 0.500 0.500 1
Cd1 Cd 0.000 0.000 0.500 1
Ba2 Ba 0.000 0.500 0.000 1
Cu1 Cu 0.000 0.000 0.000 1
```

Nd2PaSe3 | GGA-PBE | optimized geometry

Properties
**DOS(E_F)**: 1.08 states/eV/atom
**Total magnetic moment**: 0.85 μB/f.u.
**Formation energy (no corrections)**: -1.60 eV/atom

CIF file:
```
data_Nd2PaSe3
_space_group_name_H-M_alt 'P 1'
_space_group_IT_number 1
_cell_length_a 7.183
_cell_length_b 7.183
_cell_length_c 7.320
_cell_angle_alpha 99.43
_cell_angle_beta 99.43
_cell_angle_gamma 120.05
loop_
_space_group_symop_operation_xyz
'x,y,z'
loop_
_atom_site_label
_atom_site_type_symbol
_atom_site_fract_x
_atom_site_fract_y
_atom_site_fract_z
_atom_site_occupancy
Nd1 Nd 0.833 0.167 0.500 1
Pa1 Pa 0.001 0.999 0.000 1
Se1 Se 0.251 0.244 0.754 1
Se2 Se 0.073 0.406 0.240 1
Nd2 Nd 0.173 0.827 0.500 1
Nd3 Nd 0.333 0.667 0.000 1
Se3 Se 0.911 0.585 0.754 1
Pa2 Pa 0.666 0.334 0.000 1
Se4 Se 0.756 0.749 0.246 1
Nd4 Nd 0.494 0.506 0.500 1
Se5 Se 0.415 0.089 0.246 1
Se6 Se 0.594 0.927 0.760 1
```

PmPu2Si2Au2 | GGA-PBE | optimized geometry

Properties
**DOS(E_F)**: 1.27 states/eV/atom
**Total magnetic moment**: 1.92 μB/f.u.
**Formation energy (no corrections)**: -0.35 eV/atom

CIF file:
```
data_PmPu2Si2Au2
_space_group_name_H-M_alt 'P 1'
_space_group_IT_number 1
_cell_length_a 4.108
_cell_length_b 4.108
_cell_length_c 9.782
_cell_angle_alpha 77.88
_cell_angle_beta 77.88
_cell_angle_gamma 60.00
loop_
_space_group_symop_operation_xyz
'x,y,z'
loop_
_atom_site_label
_atom_site_type_symbol
_atom_site_fract_x
_atom_site_fract_y
_atom_site_fract_z
_atom_site_occupancy
Au1 Au 0.596 0.596 0.212 1
Au2 Au 0.404 0.404 0.788 1
Pm1 Pm 0.000 0.000 0.000 1
Si1 Si 0.750 0.750 0.750 1
Si2 Si 0.250 0.250 0.250 1
Pu1 Pu 0.152 0.152 0.545 1
Pu2 Pu 0.848 0.848 0.455 1
```

The records above yield uncorrected energy values of -20.5 -17.6 -25.2 -19.6 -40.3 -53.0 -92.1 -79.3 -30.5 -10.5 -78.2 -53.3 eV for the cell shown, respectively.